Below is a relaxed Ca2CoH2 crystal, with properties calculated at the GGA-PBE level.

POSCAR file:
```
Ca2CoH2
1.0
3.6214 0.0000 0.0000
0.0000 3.6214 0.0000
0.0000 0.0000 12.6793
Ca Co H
4 2 4
Direct
0.0000 0.0000 0.1449
0.0000 0.0000 0.8551
0.5000 0.5000 0.3551
0.5000 0.5000 0.6449
0.0000 0.0000 0.5000
0.5000 0.5000 0.0000
0.0000 0.5000 0.2500
0.0000 0.5000 0.7500
0.5000 0.0000 0.2500
0.5000 0.0000 0.7500
```

Calculated values
* offset from the most stable computed form: 0.829 eV/f.u.


Below is a relaxed CaCo2H7 crystal, with properties calculated at the GGA-PBE level.

POSCAR file:
```
CaCo2H7
1.0
2.4757 -4.1923 0.0000
2.4757 4.1923 0.0000
0.0000 0.0000 3.3905
Ca Co H
1 2 7
Direct
0.0000 0.0000 0.0000
0.3091 0.6909 0.5000
0.6909 0.3091 0.5000
0.0368 0.3344 0.5000
0.3179 0.6821 0.0000
0.3344 0.0368 0.5000
0.5000 0.5000 0.5000
0.6656 0.9632 0.5000
0.6821 0.3179 0.0000
0.9632 0.6656 0.5000
```

Calculated values
* total DFT energy (no corrections): -4.155 eV/atom


Below is a relaxed Ca3Co2H9 crystal, with properties calculated at the GGA-PBE level.

POSCAR file:
```
Ca3Co2H9
1.0
4.9338 0.0000 0.0000
-2.4669 4.2728 0.0000
0.0000 0.0000 6.0542
Ca Co H
3 2 9
Direct
0.0000 0.0000 0.0000
0.3333 0.6667 0.3429
0.6667 0.3333 0.6571
0.3333 0.6667 0.8340
0.6667 0.3333 0.1660
0.0000 0.5000 0.0000
0.1770 0.3539 0.6857
0.1770 0.8230 0.6857
0.3539 0.1770 0.3143
0.5000 0.0000 0.0000
0.5000 0.5000 0.0000
0.6461 0.8230 0.6857
0.8230 0.1770 0.3143
0.8230 0.6461 0.3143
```

Calculated values
* total DFT energy (no corrections): -4.069 eV/atom


Below is a relaxed CaCo2H8 crystal, with properties calculated at the GGA-PBE level.

POSCAR file:
```
CaCo2H8
1.0
2.2831 -3.8086 0.0000
2.2831 3.8086 0.0000
-0.0342 0.0000 4.3408
Ca Co H
1 2 8
Direct
0.0000 0.0000 0.0000
0.3829 0.7361 0.4984
0.7361 0.3829 0.4984
0.0372 0.7751 0.4999
0.0590 0.4831 0.2657
0.0628 0.4833 0.7298
0.4831 0.0590 0.2657
0.4833 0.0628 0.7298
0.5291 0.5291 0.2743
0.5296 0.5296 0.7218
0.7751 0.0372 0.4999
```

Calculated values
* offset from the most stable computed form: 0.000 eV/f.u.


Below is a relaxed CaCo2H6 crystal, with properties calculated at the GGA-PBE level.

POSCAR file:
```
CaCo2H6
1.0
0.0000 4.0351 4.0351
4.0351 0.0000 4.0351
4.0351 4.0351 0.0000
Ca Co H
2 4 12
Direct
0.1250 0.1250 0.1250
0.8750 0.8750 0.8750
0.0000 0.5000 0.5000
0.5000 0.0000 0.5000
0.5000 0.5000 0.0000
0.5000 0.5000 0.5000
0.1598 0.1598 0.5902
0.1598 0.5902 0.1598
0.1598 0.5902 0.5902
0.4098 0.4098 0.8402
0.4098 0.8402 0.4098
0.4098 0.8402 0.8402
0.5902 0.1598 0.1598
0.5902 0.1598 0.5902
0.5902 0.5902 0.1598
0.8402 0.4098 0.4098
0.8402 0.4098 0.8402
0.8402 0.8402 0.4098
```

Calculated values
* total DFT energy (no corrections): -4.258 eV/atom


Below is a relaxed CaCoH6 crystal, with properties calculated at the GGA-PBE level.

POSCAR file:
```
CaCoH6
1.0
2.3339 1.3475 3.1357
-2.3339 1.3475 3.1357
0.0000 -2.6949 3.1357
Ca Co H
1 1 6
Direct
0.0000 0.0000 0.0000
0.5000 0.5000 0.5000
0.0877 0.6071 0.6071
0.3929 0.3929 0.9123
0.3929 0.9123 0.3929
0.6071 0.0877 0.6071
0.6071 0.6071 0.0877
0.9123 0.3929 0.3929
```

Calculated values
* total DFT energy (no corrections): -3.754 eV/atom